Tb2Sc3Hg4: optimized geometry, PBE-GGA.

a b c (Å): 6.630 7.896 9.139
angles (deg): 90.00 111.27 90.00
Sites, in units of the cell vectors:
Tb  0.599  0.906  0.197
Tb  0.901  0.406  0.803
Tb  0.099  0.594  0.197
Tb  0.401  0.094  0.803
Sc  0.012  0.750  0.525
Sc  0.512  0.750  0.525
Sc  0.488  0.250  0.475
Sc  0.988  0.250  0.475
Sc  0.500  0.500  0.000
Sc  0.000  0.000  0.000
Hg  0.170  0.972  0.341
Hg  0.830  0.028  0.659
Hg  0.814  0.250  0.128
Hg  0.314  0.250  0.128
Hg  0.330  0.472  0.659
Hg  0.670  0.528  0.341
Hg  0.686  0.750  0.872
Hg  0.186  0.750  0.872

- Electronic total energy: -3.62 eV per atom
- Volume: 445.8 Å³/cell

---

MgSnHO: optimized geometry, PBE-GGA.

a b c (Å): 3.357 3.553 5.832
angles (deg): 106.20 90.00 118.19
Sites, in units of the cell vectors:
Sn  0.908  0.091  0.420
Mg  0.463  0.201  0.931
H  0.583  0.441  0.307
O  0.805  0.885  0.991

- Electronic total energy: -4.35 eV per atom
- Volume: 58.2 Å³/cell

---

YIrO2F: optimized geometry, PBE-GGA.

a b c (Å): 4.443 4.443 4.194
angles (deg): 90.00 90.00 90.00
Each line ends with the local moment (μB).
Sites, in units of the cell vectors:
Y  0.000  0.000  0.000  -0.01
O  0.000  0.500  0.000  0.26
O  0.500  0.000  0.000  0.26
F  0.000  0.000  0.500  0.01
Ir  0.500  0.500  0.500  2.34

- Volume: 82.8 Å³/cell
- Formation energy (no corrections): -972 meV per atom

---

Cu2Pb2S: optimized geometry, PBE-GGA.

a b c (Å): 3.586 3.586 8.621
angles (deg): 78.00 78.00 90.00
Sites, in units of the cell vectors:
S  0.000  0.000  0.000
Cu  0.750  0.250  0.500
Cu  0.250  0.750  0.500
Pb  0.393  0.393  0.214
Pb  0.607  0.607  0.786

- Volume: 105.9 Å³/cell
- Formation energy (no corrections): 131 meV per atom